No. 1
Material: ScC5
Method: DFT, PBE
State: relaxed

a b c (Å): 5.888 5.888 3.859
angles (deg): 90.00 90.00 154.75
Atoms (fractional coordinates):
Sc: 0.118 0.882 0.500
C: 0.810 0.190 0.000
C: 0.378 0.622 0.000
C: 0.684 0.316 0.000
C: 0.450 0.550 0.500
C: 0.893 0.107 0.500

Properties
* DFT formation energy: 1.1936 eV/atom
* crystal system: orthorhombic
* SG: No. 38
* polymorph energy (0 for the lowest one): 629 meV per atom

No. 2
Material: CaAuCl2
Method: DFT, PBE
State: relaxed

a b c (Å): 6.837 6.837 6.837
angles (deg): 146.62 135.83 56.47
Atoms (fractional coordinates):
Ca: 0.250 0.750 0.500
Au: 0.750 0.250 0.500
Cl: 0.100 0.100 0.000
Cl: 0.400 0.400 0.000

Properties
* crystal system: orthorhombic
* SG: No. 71
* polymorph energy (0 for the lowest one): 119 meV per atom